# 1
Here is an optimized crystal structure of RbRu2Pb from Alexandria. Energies are from PBE.

abc: 10.3091 10.3091 10.3091
angles: 152.42 152.42 39.40
With the nearest neighbours (Å) after each atom.
Positions (direct):
Rb 0.0000 0.0000 0.0000  4 Pb 3.47, 8 Ru 3.62-3.71
Rb 0.7500 0.2500 0.5000  4 Pb 3.47, 8 Ru 3.62-3.71
Ru 0.3605 0.6250 0.2355  2 Ru 2.46, 2 Pb 2.72
Ru 0.3750 0.6105 0.7355  2 Ru 2.46, 2 Pb 2.72
Ru 0.3895 0.1250 0.7645  2 Ru 2.46, 2 Pb 2.72
Ru 0.8750 0.6395 0.2645  2 Ru 2.46, 2 Pb 2.72
Pb 0.2500 0.7500 0.5000  4 Ru 2.72
Pb 0.5000 0.5000 0.0000  4 Ru 2.72

Output
The density of states at the Fermi level is 0.957 states/eV per atom. For the total energy, the calculation gives -4.79 eV per atom.



# 2
Here is an optimized crystal structure of SrCaTl2Os from Alexandria. Energies are from PBE.

abc: 5.8440 5.8440 6.3550
angles: 90.00 90.00 90.00
With the nearest neighbours (Å) after each atom.
Positions (direct):
Sr 0.0000 0.0000 0.0000  4 Tl 2.92, 2 Ca 3.18
Ca 0.0000 0.0000 0.5000  2 Sr 3.18
Tl 0.0000 0.5000 0.0000  2 Sr 2.92
Tl 0.5000 0.0000 0.0000  2 Sr 2.92
Os 0.5000 0.5000 0.5000  4 Ca 4.13, 8 Tl 4.32

Output
The density of states at the Fermi level is 0.855 states/eV per atom. For the total energy, the calculation gives -2.04 eV per atom.